DFT (PBE) results for crystalline Sr2Zn at its relaxed geometry. Values from VASP.

Geometry as Quantum ESPRESSO input:
```
&SYSTEM
  ibrav = 0, nat = 3, ntyp = 2
/
ATOMIC_SPECIES
Sr 87.62 Sr.upf
Zn 65.41 Zn.upf
ATOMIC_POSITIONS angstrom
Sr 8.357 4.825 3.412
Sr 2.786 1.608 1.137
Zn 0.000 0.000 0.000
CELL_PARAMETERS angstrom
5.571 0.000 0.000
2.786 4.825 0.000
2.786 1.608 4.549
```

Output
Its spin magnetization is 0.001 Bohr magnetons per cell. The calculation puts the formation energy from the elements at -0.008 eV/atom.

---

DFT (PBE) results for crystalline TlAs2Cl6 at its relaxed geometry. Values from VASP.

Geometry as Quantum ESPRESSO input:
```
&SYSTEM
  ibrav = 0, nat = 18, ntyp = 3
/
ATOMIC_SPECIES
Tl 204.38 Tl.upf
As 74.92 As.upf
Cl 35.45 Cl.upf
ATOMIC_POSITIONS angstrom
Tl 5.694 -0.673 7.567
Tl 10.874 7.593 -0.869
As 6.998 3.754 4.947
As 4.389 1.802 3.058
As 9.570 3.165 1.751
As 12.179 5.117 3.641
Cl 9.369 4.645 4.187
Cl 12.380 2.635 2.241
Cl 7.199 2.275 2.511
Cl 4.188 4.284 4.457
Cl 12.757 6.215 1.802
Cl 8.991 4.968 0.595
Cl 3.810 0.705 4.896
Cl 7.577 1.952 6.104
Cl 6.925 5.169 6.768
Cl 4.462 -0.064 1.702
Cl 9.642 1.750 -0.070
Cl 12.106 6.983 4.997
CELL_PARAMETERS angstrom
10.361 0.102 0.099
3.103 8.317 -1.770
3.103 -1.500 8.370
```

Output
Its spin magnetization is 0.000 Bohr magnetons per cell. Its formation energy without anion corrections is -0.625 eV per atom.

---

DFT (PBE) results for crystalline Dy2P6Pd21 at its relaxed geometry. Values from VASP.

Geometry as Quantum ESPRESSO input:
```
&SYSTEM
  ibrav = 0, nat = 29, ntyp = 3
/
ATOMIC_SPECIES
Dy 162.50 Dy.upf
P 30.97 P.upf
Pd 106.42 Pd.upf
ATOMIC_POSITIONS angstrom
Dy -14.653 -3.224 -5.064
Dy -4.884 -1.075 -1.688
P -7.453 -3.899 -3.693
P -8.158 0.135 -4.220
P -10.522 -2.644 -6.153
P -12.085 -0.400 -3.060
P -11.379 -4.434 -2.533
P -9.016 -1.655 -0.599
Pd 0.000 0.000 0.000
Pd -8.244 -2.130 -5.268
Pd -12.017 -2.644 -4.153
Pd -9.746 0.026 -2.295
Pd -9.068 -3.850 -1.789
Pd -11.293 -2.169 -1.485
Pd -7.521 -1.655 -2.599
Pd -9.792 -4.325 -4.457
Pd -10.470 -0.449 -4.964
Pd -7.024 1.331 -2.529
Pd -6.060 -4.186 -1.809
Pd -2.828 -0.385 0.835
Pd -3.232 -3.800 -2.644
Pd -4.197 1.716 -3.365
Pd -5.369 -0.732 1.586
Pd -1.702 -2.001 -1.393
Pd -7.071 -2.733 0.194
Pd -5.899 -0.285 -4.757
Pd -7.579 0.172 -0.186
Pd -2.210 0.904 -1.772
Pd -5.442 -2.896 -4.416
CELL_PARAMETERS angstrom
-6.407 2.620 -5.137
-4.934 -5.802 -4.037
-8.197 -1.117 2.421
```

Output
Its spin magnetization is 0.000 Bohr magnetons per cell. The calculation puts the formation energy from the elements at -0.642 eV/atom.

---

DFT (PBE) results for crystalline YV2Ru at its relaxed geometry. Values from VASP.

Geometry as Quantum ESPRESSO input:
```
&SYSTEM
  ibrav = 0, nat = 4, ntyp = 3
/
ATOMIC_SPECIES
Y 88.91 Y.upf
Ru 101.07 Ru.upf
V 50.94 V.upf
ATOMIC_POSITIONS angstrom
Y 0.000 0.000 0.000
Ru -5.525 -0.018 0.051
V -2.762 -0.009 0.025
V -8.287 -0.027 0.076
CELL_PARAMETERS angstrom
-3.659 -0.154 2.634
-3.701 2.311 -1.143
-3.689 -2.193 -1.390
```

Output
Its spin magnetization is 0.032 Bohr magnetons per cell. The calculation puts the energy above the lowest structure with this stoichiometry at 0 meV per atom. The calculation puts the formation energy from the elements at 0.264 eV/atom.

---

DFT (PBE) results for crystalline HoPuBiN at its relaxed geometry. Values from VASP.

Geometry as Quantum ESPRESSO input:
```
&SYSTEM
  ibrav = 0, nat = 8, ntyp = 4
/
ATOMIC_SPECIES
Ho 164.93 Ho.upf
Pu 244.00 Pu.upf
Bi 208.98 Bi.upf
N 14.01 N.upf
ATOMIC_POSITIONS angstrom
Ho 0.000 0.000 4.482
Ho 2.292 2.292 4.482
Pu 2.292 0.000 7.352
Pu 0.000 2.292 1.613
Bi 0.000 2.292 7.246
Bi 2.292 0.000 1.719
N 0.000 2.292 3.776
N 2.292 0.000 5.189
CELL_PARAMETERS angstrom
4.585 0.000 0.000
0.000 4.585 0.000
0.000 0.000 8.965
```

Output
Its spin magnetization is 9.924 Bohr magnetons per cell. Its formation energy without anion corrections is -1.046 eV per atom.

---

DFT (PBE) results for crystalline LiDy12Ni6 at its relaxed geometry. Values from VASP.

Geometry as Quantum ESPRESSO input:
```
&SYSTEM
  ibrav = 0, nat = 19, ntyp = 3
/
ATOMIC_SPECIES
Li 6.94 Li.upf
Dy 162.50 Dy.upf
Ni 58.69 Ni.upf
ATOMIC_POSITIONS angstrom
Li 0.000 0.000 0.000
Dy -2.806 -4.603 3.055
Dy 0.898 -4.740 3.888
Dy -1.348 -2.217 5.626
Dy 1.174 -1.190 3.243
Dy -2.529 -1.053 2.410
Dy -0.283 -3.575 0.672
Dy 4.811 -3.885 2.545
Dy 2.731 -0.797 7.151
Dy 0.796 -7.647 0.350
Dy -6.443 -1.907 3.753
Dy -4.362 -4.996 -0.853
Dy -2.428 1.855 5.948
Ni -0.707 -5.941 1.881
Ni -3.092 -3.196 0.779
Ni 2.181 -3.471 1.892
Ni -0.925 0.149 4.417
Ni 1.461 -2.596 5.519
Ni -3.813 -2.321 4.406
CELL_PARAMETERS angstrom
-7.523 -3.703 -1.338
6.035 -5.973 0.086
-0.143 3.883 7.550
```

Output
Its spin magnetization is 0.000 Bohr magnetons per cell. The calculation puts the energy above the lowest structure with this stoichiometry at 116 meV per atom. The calculation puts the formation energy from the elements at -0.156 eV/atom.

---

DFT (PBE) results for crystalline CuRe2Au at its relaxed geometry. Values from VASP.

Geometry as Quantum ESPRESSO input:
```
&SYSTEM
  ibrav = 0, nat = 4, ntyp = 3
/
ATOMIC_SPECIES
Au 196.97 Au.upf
Cu 63.55 Cu.upf
Re 186.21 Re.upf
ATOMIC_POSITIONS angstrom
Au -1.287 -1.685 1.683
Cu -2.364 -0.848 4.328
Re -2.056 1.597 5.046
Re -1.177 0.914 2.889
CELL_PARAMETERS angstrom
-2.719 -1.570 -0.611
1.223 -2.638 1.333
-2.155 1.674 5.290
```

Output
Its spin magnetization is 0.000 Bohr magnetons per cell. The calculation puts the energy above the lowest structure with this stoichiometry at 441 meV per atom. The calculation puts the formation energy from the elements at 0.617 eV/atom.